The following is a DFT calculation (GGA-PBE) of crystalline Ti2WCl at its relaxed geometry.

Structure (extended XYZ):
```
4
Lattice="0.0000 3.2045 3.2045 3.2045 0.0000 3.2045 3.2045 3.2045 0.0000" Properties=species:S:1:pos:R:3 pbc="T T T"
Cl 0.0000 0.0000 0.0000
W 3.2045 3.2045 3.2045
Ti 1.6022 1.6022 1.6022
Ti 4.8067 4.8067 4.8067
```

Calculated values
The electronic total energy comes out at -7.155 eV/atom. As for the crystal system: cubic. The excess energy over the best structure of this formula in the dataset is 15.3 meV/atom. The calculation puts the energy relative to the elements, uncorrected at 0.493 eV/atom.


The following is a DFT calculation (GGA-PBE) of crystalline ReRh3W at its relaxed geometry.

Structure (extended XYZ):
```
5
Lattice="4.6585 0.0000 0.0000 0.0000 4.6585 0.0000 0.0000 0.0000 4.6585" Properties=species:S:1:pos:R:3 pbc="T T T"
Re 2.3292 2.3292 2.3292
Rh 0.0000 2.3292 0.0000
Rh 0.0000 0.0000 2.3292
Rh 2.3292 0.0000 0.0000
W 0.0000 0.0000 0.0000
```

Calculated values
The electronic total energy comes out at -7.713 eV/atom. As for the crystal system: cubic. The excess energy over the best structure of this formula in the dataset is 1374.1 meV/atom.


The following is a DFT calculation (GGA-PBE) of crystalline SmEr6S8 at its relaxed geometry.

Structure (extended XYZ):
```
15
Lattice="6.6966 0.0000 3.8663 2.2322 6.3136 3.8663 0.0000 0.0000 7.7326" Properties=species:S:1:pos:R:3 pbc="T T T"
Sm 0.0000 0.0000 0.0000
Er 1.1161 3.1568 5.7994
Er 3.3483 0.0000 1.9331
Er 4.4644 3.1568 3.8663
Er 0.0000 0.0000 3.8663
Er 1.1161 3.1568 1.9331
Er 3.3483 0.0000 5.7994
S 6.6966 4.7352 11.5989
S 2.2322 1.5784 3.8663
S 5.5490 1.6229 5.8540
S 3.3798 4.6907 9.6112
S 2.2952 1.6229 7.7326
S 6.6336 4.6907 7.7326
S 5.5490 1.6229 9.6112
S 3.3798 4.6907 5.8540
```

Calculated values
The electronic total energy comes out at -6.359 eV/atom. As for the crystal system: cubic. The calculation puts the energy relative to the elements, uncorrected at -2.018 eV/atom.


The following is a DFT calculation (GGA-PBE) of crystalline Er2GaPt4 at its relaxed geometry.

Structure (extended XYZ):
```
7
Lattice="4.6263 0.0000 0.0000 0.0000 4.6263 0.0000 -2.3132 -2.3132 7.2020" Properties=species:S:1:pos:R:3 pbc="T T T"
Er 2.3132 2.3132 2.0103
Er 0.0000 0.0000 5.1917
Ga 0.0000 0.0000 0.0000
Pt 2.3132 2.3132 4.7124
Pt 0.0000 0.0000 2.4896
Pt 0.0000 2.3132 0.0000
Pt 2.3132 0.0000 0.0000
```

Calculated values
The electronic total energy comes out at -5.727 eV/atom. As for the crystal system: tetragonal.